VASP calculation (PBE) on an optimized crystal structure of Sr2ZrOs.

Lattice parameters (Å, degrees): 3.505 3.505 9.977 90.00 90.06 90.00
Space group Pm (No. 6)
Unique sites:
Sr1 0.000 0.000 0.000 (multiplicity 1)
Sr2 0.498 0.500 0.371 (multiplicity 1)
Zr1 0.499 0.500 0.707 (multiplicity 1)
Os1 0.999 0.000 0.590 (multiplicity 1)

Polymorph energy (0 for the lowest one) = 0.000 eV per atom
N(E_F) = 0.5954 states/eV per atom
E_tot = -22.593 eV/f.u.
Spin magnetization = 0.000 μB per atom
Calculated formation energy = 0.55 eV/f.u.

=====

VASP calculation (PBE) on an optimized crystal structure of SrZr2Os.

Lattice parameters (Å, degrees): 7.104 7.104 7.104 90.00 90.00 90.00
Space group F-43m (No. 216)
Unique sites:
Sr1 0.000 0.000 0.000 (multiplicity 4)
Zr1 0.000 0.000 0.500 (multiplicity 4)
Zr2 0.250 0.250 0.250 (multiplicity 4)
Os1 0.250 0.250 0.750 (multiplicity 4)

Polymorph energy (0 for the lowest one) = 0.541 eV per atom
N(E_F) = 1.2254 states/eV per atom
E_tot = -27.586 eV/f.u.
Spin magnetization = 0.499 μB per atom
Calculated formation energy = 2.42 eV/f.u.